Record 1
Here is a relaxed structure of Sm8Bi2Os from Alexandria. Energies are from GGA-PBE.

Cell: 19.835 5.066 6.950 Å, 90.00 105.26 90.00°
Space group C2/m (No. 12)
Inequivalent atoms, fractional coordinates:
Sm 0.015 0.000 0.286
Sm 0.089 0.500 0.963
Sm 0.142 0.500 0.511
Sm 0.218 0.000 0.828
Bi 0.181 0.000 0.261
Os 0.000 0.500 0.500

Output
- calculated volume (Å³ per cell) = 673.65
- DFT formation energy (eV/atom) = -0.32
- N(E_F) (states/eV per atom) = 0.8576
- size of the total moment (μB per formula unit) = 0.0

***

Record 2
Here is a relaxed structure of AgPPbS4 from Alexandria. Energies are from GGA-PBE.

Cell: 7.002 6.707 7.631 Å, 90.00 110.47 90.00°
Space group P2_1/m (No. 11)
Inequivalent atoms, fractional coordinates:
Ag 0.213 0.250 0.059
P 0.247 0.750 0.842
Pb 0.239 0.250 0.588
S 0.041 0.509 0.768
S 0.370 0.750 0.121
S 0.432 0.750 0.686

Output
- formation energy without anion corrections (meV/atom) = -244
- calculated volume (Å³ per cell) = 335.71
- size of the total moment (μB per formula unit) = 0.0

***

Record 3
Here is a relaxed structure of CsTcPS2 from Alexandria. Energies are from GGA-PBE.

Cell: 5.199 5.199 5.550 Å, 90.00 90.00 90.00°
Space group P4/mmm (No. 123)
Inequivalent atoms, fractional coordinates:
Cs 0.000 0.000 0.000
Tc 0.500 0.500 0.500
P 0.000 0.000 0.500
S 0.000 0.500 0.000

Output
- polymorph energy (0 for the lowest one) (meV/atom) = 2624.4
- formation energy without anion corrections (meV/atom) = 2541
- calculated volume (Å³ per cell) = 149.99
- N(E_F) (states/eV per atom) = 2.4188
- size of the total moment (μB per formula unit) = 0.3

***

Record 4
Here is a relaxed structure of KBeB2Ir from Alexandria. Energies are from GGA-PBE.

Cell: 4.135 4.135 6.082 Å, 90.00 90.00 90.00°
Space group P4/mmm (No. 123)
Inequivalent atoms, fractional coordinates:
K 0.000 0.000 0.000
Be 0.500 0.500 0.000
B 0.000 0.500 0.500
Ir 0.000 0.000 0.500

Output
- calculated volume (Å³ per cell) = 103.99
- DFT formation energy (eV/atom) = 1.21
- N(E_F) (states/eV per atom) = 0.2446
- size of the total moment (μB per formula unit) = 0.0

***

Record 5
Here is a relaxed structure of La16Pm7Sm6 from Alexandria. Energies are from GGA-PBE.

Cell: 16.164 16.164 16.164 Å, 90.00 90.00 90.00°
Space group Fm-3m (No. 225)
Inequivalent atoms, fractional coordinates:
La 0.121 0.121 0.121
La 0.155 0.155 0.345
Pm 0.000 0.000 0.000
Pm 0.000 0.250 0.250
Sm 0.000 0.000 0.293

Output
- calculated volume (Å³ per cell) = 4222.94
- DFT formation energy (eV/atom) = 0.19
- N(E_F) (states/eV per atom) = 1.7412
- size of the total moment (μB per formula unit) = 0.0

***

Record 6
Here is a relaxed structure of As2BrCl from Alexandria. Energies are from GGA-PBE.

Cell: 7.783 7.783 6.204 Å, 90.00 90.00 90.00°
Space group I-42d (No. 122)
Inequivalent atoms, fractional coordinates:
As 0.248 0.250 0.125
Br 0.000 0.000 0.500
Cl 0.000 0.000 0.000

Output
- polymorph energy (0 for the lowest one) (meV/atom) = 781.3
- formation energy without anion corrections (meV/atom) = 461
- calculated volume (Å³ per cell) = 375.79
- N(E_F) (states/eV per atom) = 0.6740
- size of the total moment (μB per formula unit) = 0.0

***

Record 7
Here is a relaxed structure of SrCu2Ni2 from Alexandria. Energies are from GGA-PBE.

Cell: 4.115 4.115 9.926 Å, 90.00 90.00 90.00°
Space group I4/mmm (No. 139)
Inequivalent atoms, fractional coordinates:
Sr 0.000 0.000 0.000
Cu 0.000 0.500 0.250
Ni 0.000 0.000 0.383

Output
- polymorph energy (0 for the lowest one) (meV/atom) = 0.0
- calculated volume (Å³ per cell) = 168.08
- DFT formation energy (eV/atom) = 0.08
- N(E_F) (states/eV per atom) = 0.6250
- size of the total moment (μB per formula unit) = 0.0

***

Record 8
Here is a relaxed structure of RbErAlTe4 from Alexandria. Energies are from GGA-PBE.

Cell: 7.617 6.592 10.421 Å, 90.00 107.17 90.00°
Space group P2_1/m (No. 11)
Inequivalent atoms, fractional coordinates:
Rb 0.243 0.250 0.052
Er 0.256 0.250 0.553
Al 0.260 0.750 0.333
Te 0.020 0.509 0.703
Te 0.435 0.750 0.587
Te 0.449 0.750 0.168

Output
- formation energy without anion corrections (meV/atom) = -890
- calculated volume (Å³ per cell) = 499.96
- N(E_F) (states/eV per atom) = 0.2691
- size of the total moment (μB per formula unit) = 0.0

***

Record 9
Here is a relaxed structure of Tm2AlGa5 from Alexandria. Energies are from GGA-PBE.

Cell: 6.001 6.001 8.357 Å, 90.00 90.00 90.00°
Space group I4mm (No. 107)
Inequivalent atoms, fractional coordinates:
Tm 0.000 0.500 0.000
Al 0.000 0.000 0.499
Ga 0.000 0.000 0.000
Ga 0.250 0.250 0.250

Output
- calculated volume (Å³ per cell) = 300.91
- DFT formation energy (eV/atom) = -0.49
- N(E_F) (states/eV per atom) = 0.4717
- size of the total moment (μB per formula unit) = 0.0

***

Record 10
Here is a relaxed structure of NaTcOF2 from Alexandria. Energies are from GGA-PBE.

Cell: 3.901 3.901 4.281 Å, 90.00 90.00 90.00°
Space group P4/mmm (No. 123)
Inequivalent atoms, fractional coordinates:
Na 0.000 0.000 0.000
Tc 0.500 0.500 0.500
O 0.000 0.000 0.500
F 0.000 0.500 0.000

Output
- polymorph energy (0 for the lowest one) (meV/atom) = 1121.4
- formation energy without anion corrections (meV/atom) = -568
- calculated volume (Å³ per cell) = 65.15
- N(E_F) (states/eV per atom) = 0.6651
- size of the total moment (μB per formula unit) = 4.0

***

Record 11
Here is a relaxed structure of Te4RuPt from Alexandria. Energies are from GGA-PBE.

Cell: 8.586 8.586 8.586 Å, 90.00 90.00 90.00°
Space group F-43m (No. 216)
Inequivalent atoms, fractional coordinates:
Te 0.124 0.124 0.124
Ru 0.000 0.000 0.500
Pt 0.250 0.250 0.750

Output
- polymorph energy (0 for the lowest one) (meV/atom) = 1591.7
- formation energy without anion corrections (meV/atom) = 1324
- calculated volume (Å³ per cell) = 632.95
- N(E_F) (states/eV per atom) = 1.9420
- size of the total moment (μB per formula unit) = 2.6

***

Record 12
Here is a relaxed structure of TbDyMnCu from Alexandria. Energies are from GGA-PBE.

Cell: 7.015 7.015 7.015 Å, 90.00 90.00 90.00°
Space group F-43m (No. 216)
Inequivalent atoms, fractional coordinates:
Tb 0.000 0.000 0.000
Dy 0.000 0.000 0.500
Mn 0.250 0.250 0.250
Cu 0.250 0.250 0.750

Output
- calculated volume (Å³ per cell) = 345.18
- DFT formation energy (eV/atom) = 0.03
- N(E_F) (states/eV per atom) = 1.1741
- size of the total moment (μB per formula unit) = 3.1

***

Record 13
Here is a relaxed structure of Nd2MgGaTe5 from Alexandria. Energies are from GGA-PBE.

Cell: 4.456 18.901 12.890 Å, 90.00 90.00 90.00°
Space group Cmc2_1 (No. 36)
Inequivalent atoms, fractional coordinates:
Nd 0.000 0.114 0.000
Nd 0.000 0.130 0.620
Mg 0.000 0.206 0.330
Ga 0.000 0.435 0.778
Te 0.000 0.048 0.391
Te 0.000 0.286 0.981
Te 0.000 0.309 0.665
Te 0.000 0.358 0.314
Te 0.000 0.498 0.094

Output
- formation energy without anion corrections (meV/atom) = -989
- calculated volume (Å³ per cell) = 1085.59
- N(E_F) (states/eV per atom) = 0.1989
- size of the total moment (μB per formula unit) = 0.0

***

Record 14
Here is a relaxed structure of Tb4AsSe2S from Alexandria. Energies are from GGA-PBE.

Cell: 7.006 4.053 7.114 Å, 90.00 109.19 90.00°
Space group P2/m (No. 10)
Inequivalent atoms, fractional coordinates:
Tb 0.238 0.000 0.230
Tb 0.250 0.500 0.766
As 0.500 0.000 0.000
Se 0.000 0.000 0.500
Se 0.500 0.500 0.500
S 0.000 0.500 0.000

Output
- formation energy without anion corrections (meV/atom) = -1811
- calculated volume (Å³ per cell) = 190.79
- N(E_F) (states/eV per atom) = 0.3749
- size of the total moment (μB per formula unit) = 0.0

***

Record 15
Here is a relaxed structure of Mg2TiIrAu from Alexandria. Energies are from GGA-PBE.

Cell: 4.698 4.698 5.125 Å, 90.00 90.00 90.00°
Space group P4/mmm (No. 123)
Inequivalent atoms, fractional coordinates:
Mg 0.000 0.500 0.000
Ti 0.000 0.000 0.500
Ir 0.500 0.500 0.500
Au 0.500 0.500 0.000

Output
- calculated volume (Å³ per cell) = 113.12
- DFT formation energy (eV/atom) = 0.76
- N(E_F) (states/eV per atom) = 1.2676
- size of the total moment (μB per formula unit) = 0.0

***

Record 16
Here is a relaxed structure of MgTl2GaSn2 from Alexandria. Energies are from GGA-PBE.

Cell: 6.322 15.387 6.869 Å, 90.00 90.00 90.00°
Space group Ibam (No. 72)
Inequivalent atoms, fractional coordinates:
Mg 0.000 0.000 0.250
Tl 0.233 0.174 0.000
Ga 0.000 0.500 0.250
Sn 0.224 0.383 0.000

Output
- calculated volume (Å³ per cell) = 668.16
- DFT formation energy (eV/atom) = -0.01
- N(E_F) (states/eV per atom) = 0.3512
- size of the total moment (μB per formula unit) = 0.0

***

Record 17
Here is a relaxed structure of KReAu from Alexandria. Energies are from GGA-PBE.

Cell: 2.8495 2.8495 8.3573 Å, 90.00 90.00 120.00°
Space group P3m1 (No. 156)
Inequivalent atoms, fractional coordinates:
K 0.0000 0.0000 0.0000
Re 0.6667 0.3333 0.3582
Au 0.3333 0.6667 0.6479

Output
- polymorph energy (0 for the lowest one) (meV/atom) = 106.8
- calculated volume (Å³ per cell) = 58.77
- DFT formation energy (eV/atom) = 0.92
- N(E_F) (states/eV per atom) = 0.9978
- size of the total moment (μB per formula unit) = 0.0

***

Record 18
Here is a relaxed structure of InPb2Au7 from Alexandria. Energies are from GGA-PBE.

Cell: 4.025 4.025 13.798 Å, 90.00 90.00 90.00°
Space group P-4m2 (No. 115)
Inequivalent atoms, fractional coordinates:
In 0.000 0.000 0.000
Pb 0.000 0.500 0.744
Au 0.000 0.000 0.500
Au 0.000 0.500 0.151
Au 0.000 0.500 0.351
Au 0.500 0.500 0.000
Au 0.500 0.500 0.500

Output
- calculated volume (Å³ per cell) = 223.49
- DFT formation energy (eV/atom) = -0.06
- N(E_F) (states/eV per atom) = 0.3099
- size of the total moment (μB per formula unit) = 0.0

***

Record 19
Here is a relaxed structure of Pu3U2Si2 from Alexandria. Energies are from GGA-PBE.

Cell: 14.112 3.718 12.805 Å, 90.00 122.38 90.00°
Space group C2/m (No. 12)
Inequivalent atoms, fractional coordinates:
Pu 0.114 0.000 0.110
Pu 0.129 0.500 0.462
Pu 0.203 0.000 0.876
U 0.075 0.500 0.639
U 0.085 0.000 0.315
Si 0.054 0.500 0.896
Si 0.246 0.000 0.668

Output
- formation energy without anion corrections (meV/atom) = -209
- calculated volume (Å³ per cell) = 567.44
- N(E_F) (states/eV per atom) = 2.3061
- size of the total moment (μB per formula unit) = 11.1

***

Record 20
Here is a relaxed structure of HfCrAs2 from Alexandria. Energies are from GGA-PBE.

Cell: 3.8132 3.8132 17.6171 Å, 90.00 90.00 120.00°
Space group R-3m (No. 166, hexagonal axes)
Inequivalent atoms, fractional coordinates:
Hf 0.0000 0.0000 0.0000
Cr 0.0000 0.0000 0.5000
As 0.0000 0.0000 0.2430

Output
- polymorph energy (0 for the lowest one) (meV/atom) = 0.0
- calculated volume (Å³ per cell) = 221.84
- DFT formation energy (eV/atom) = -0.47
- N(E_F) (states/eV per atom) = 0.7050
- size of the total moment (μB per formula unit) = 3.0

***

Record 21
Here is a relaxed structure of Na2ZnPd2 from Alexandria. Energies are from GGA-PBE.

Cell: 6.515 6.515 4.663 Å, 90.00 90.00 90.00°
Space group P4/mbm (No. 127)
Inequivalent atoms, fractional coordinates:
Na 0.168 0.332 0.000
Zn 0.000 0.000 0.500
Pd 0.144 0.644 0.500

Output
- polymorph energy (0 for the lowest one) (meV/atom) = 0.0
- calculated volume (Å³ per cell) = 197.94
- DFT formation energy (eV/atom) = -0.22
- N(E_F) (states/eV per atom) = 0.2408
- size of the total moment (μB per formula unit) = 0.0

***

Record 22
Here is a relaxed structure of VFe2Os2 from Alexandria. Energies are from GGA-PBE.

Cell: 7.128 7.128 2.615 Å, 90.00 90.00 90.00°
Space group P4/mbm (No. 127)
Inequivalent atoms, fractional coordinates:
V 0.000 0.000 0.000
Fe 0.168 0.332 0.500
Os 0.129 0.629 0.000

Output
- polymorph energy (0 for the lowest one) (meV/atom) = 83.5
- calculated volume (Å³ per cell) = 132.85
- DFT formation energy (eV/atom) = 0.22
- N(E_F) (states/eV per atom) = 0.9962
- size of the total moment (μB per formula unit) = 0.0

***

Record 23
Here is a relaxed structure of Nd6Y5Sc from Alexandria. Energies are from GGA-PBE.

Cell: 5.123 10.057 15.357 Å, 90.00 90.00 90.00°
Space group Immm (No. 71)
Inequivalent atoms, fractional coordinates:
Nd 0.000 0.245 0.000
Nd 0.000 0.253 0.335
Y 0.000 0.000 0.165
Y 0.000 0.000 0.500
Y 0.000 0.500 0.166
Sc 0.000 0.500 0.500

Output
- calculated volume (Å³ per cell) = 791.17
- DFT formation energy (eV/atom) = 0.03
- N(E_F) (states/eV per atom) = 1.4233
- size of the total moment (μB per formula unit) = 0.0